Crystalline CeMgPa2Ir4 at its relaxed geometry. Source: Alexandria via LeMat-Bulk, functional PBE.

Symmetry: R-3m (166)
Theoretical density: 14.310 Mg/m³
N(E_F): 1.020 states/eV/atom
Energy of formation from the pure elements: -5.5 eV/f.u.

a b c (Å): 4.6733 4.6733 8.9763
angles (deg): 74.91 74.91 60.00
Last column: nearest neighbours and their distance in Å.
Fractional positions:
Ce 0.0000 0.0000 0.0000  8 Ir 3.10-3.25
Mg 0.5000 0.5000 0.5000  8 Ir 2.75-2.89
Pa 0.7563 0.7563 0.7310  7 Ir 2.81-3.01
Pa 0.2437 0.2437 0.2690  7 Ir 2.81-3.01
Ir 0.3928 0.3928 0.8216  1 Mg 2.75, 3 Pa 2.81
Ir 0.8734 0.8734 0.3799  4 Pa 2.86-3.01, 3 Mg 2.89, 3 Ir 3.20
Ir 0.1267 0.1267 0.6201  4 Pa 2.86-3.01, 3 Mg 2.89, 3 Ir 3.20
Ir 0.6072 0.6072 0.1784  1 Mg 2.75, 3 Pa 2.81



Crystalline Tb6Ho2ErTh3 at its relaxed geometry. Source: Alexandria via LeMat-Bulk, functional PBE.

Symmetry: C2/m (12)
Theoretical density: 9.343 Mg/m³
N(E_F): 1.516 states/eV/atom
Energy of formation from the pure elements: 0.3 eV/f.u.

a b c (Å): 6.1699 6.1699 11.7514
angles (deg): 95.03 95.03 119.96
Last column: nearest neighbours and their distance in Å.
Fractional positions:
Tb 0.9159 0.5827 0.7473  3 Th 3.52, 6 Tb 3.56, 1 Er 3.57, 2 Ho 3.57-3.58
Tb 0.7509 0.7509 0.2528  3 Th 3.52, 6 Tb 3.56, 2 Ho 3.58, 1 Er 3.58
Tb 0.0841 0.4173 0.2527  3 Th 3.52, 6 Tb 3.56, 1 Er 3.57, 2 Ho 3.57-3.58
Tb 0.5827 0.9159 0.7473  3 Th 3.52, 6 Tb 3.56, 1 Er 3.57, 2 Ho 3.57-3.58
Tb 0.2491 0.2491 0.7472  3 Th 3.52, 6 Tb 3.56, 2 Ho 3.58, 1 Er 3.58
Tb 0.4173 0.0841 0.2527  3 Th 3.52, 6 Tb 3.56, 1 Er 3.57, 2 Ho 3.57-3.58
Ho 0.3334 0.6666 0.0000  3 Ho 3.56, 3 Er 3.56, 6 Tb 3.57-3.58
Ho 0.6666 0.3334 0.0000  3 Ho 3.56, 3 Er 3.56, 6 Tb 3.57-3.58
Er 0.0000 0.0000 0.0000  6 Ho 3.56, 6 Tb 3.57-3.58
Th 0.1668 0.8332 0.5000  6 Tb 3.52, 6 Th 3.56
Th 0.8332 0.1668 0.5000  6 Tb 3.52, 6 Th 3.56
Th 0.5000 0.5000 0.5000  6 Tb 3.52, 6 Th 3.56



Crystalline Cs2U2FeS6 at its relaxed geometry. Source: Alexandria via LeMat-Bulk, functional PBE.

Symmetry: C2/m (12)
Theoretical density: 5.346 Mg/m³
N(E_F): 1.587 states/eV/atom
E_form (uncorrected): -1.08 eV/atom

a b c (Å): 6.4951 6.4951 8.6459
angles (deg): 97.82 97.82 118.94
Last column: nearest neighbours and their distance in Å.
Fractional positions:
Cs 0.8288 0.1712 0.0000  6 S 3.45-3.56, 3 Cs 3.74-3.83
Cs 0.1712 0.8288 0.0000  6 S 3.45-3.56, 3 Cs 3.74-3.83
U 0.3318 0.6682 0.5000  6 S 2.69-2.71
U 0.6682 0.3318 0.5000  6 S 2.69-2.71
Fe 0.0000 0.0000 0.5000  6 S 2.42-2.43
S 0.7615 0.7615 0.6693  1 Fe 2.42, 2 U 2.70
S 0.0644 0.3643 0.6730  1 Fe 2.43, 2 U 2.69-2.71
S 0.2385 0.2385 0.3307  1 Fe 2.42, 2 U 2.70
S 0.3643 0.0644 0.6730  1 Fe 2.43, 2 U 2.69-2.71
S 0.9356 0.6357 0.3270  1 Fe 2.43, 2 U 2.69-2.71
S 0.6357 0.9356 0.3270  1 Fe 2.43, 2 U 2.69-2.71



Crystalline NaSrCoAg2 at its relaxed geometry. Source: Alexandria via LeMat-Bulk, functional PBE.

Symmetry: P4/mmm (123)
Theoretical density: 2.850 Mg/m³
N(E_F): 0.493 states/eV/atom
Energy of formation from the pure elements: 7.0 eV/f.u.

a b c (Å): 5.7548 6.7793 5.7548
angles (deg): 90.00 90.00 90.00
Last column: nearest neighbours and their distance in Å.
Fractional positions:
Sr 0.0000 0.0000 0.0000  4 Ag 2.88
Co 0.5000 0.5000 0.5000  4 Na 4.07, 8 Ag 4.45
Ag 0.0000 0.0000 0.5000  2 Sr 2.88
Ag 0.5000 0.0000 0.0000  2 Sr 2.88
Na 0.0000 0.5000 0.0000  2 Sr 3.39



Crystalline NiOsRh2 at its relaxed geometry. Source: Alexandria via LeMat-Bulk, functional PBE.

Symmetry: Fm-3m (225)
Theoretical density: 13.575 Mg/m³
N(E_F): 1.029 states/eV/atom
Energy of formation from the pure elements: 1.5 eV/f.u.
E above lowest polymorph: 0.338 eV per atom

a b c (Å): 4.2848 4.2848 4.2848
angles (deg): 60.00 60.00 60.00
Last column: nearest neighbours and their distance in Å.
Fractional positions:
Rh 0.2500 0.2500 0.2500  4 Os 2.62, 4 Ni 2.62
Rh 0.7500 0.7500 0.7500  4 Os 2.62, 4 Ni 2.62
Os 0.5000 0.5000 0.5000  8 Rh 2.62
Ni 0.0000 0.0000 0.0000  8 Rh 2.62



Crystalline La3CdSi2Pd9 at its relaxed geometry. Source: Alexandria via LeMat-Bulk, functional PBE.

Symmetry: P-3m1 (164)
Theoretical density: 7.755 Mg/m³
N(E_F): 0.466 states/eV/atom
E_form (uncorrected): -0.67 eV/atom

a b c (Å): 5.9025 5.9025 10.9504
angles (deg): 90.00 90.00 120.00
Last column: nearest neighbours and their distance in Å.
Fractional positions:
La 0.3333 0.6667 0.7156  6 Pd 2.95
La 0.0000 0.0000 0.0000  6 Pd 2.95
La 0.6667 0.3333 0.2844  6 Pd 2.95
Cd 0.0000 0.0000 0.5000  6 Pd 2.78
Si 0.3333 0.6667 0.1561  6 Pd 2.34-2.41
Si 0.6667 0.3333 0.8439  6 Pd 2.34-2.41
Pd 0.8427 0.1573 0.7069  1 Si 2.34
Pd 0.8427 0.6853 0.7069  1 Si 2.34
Pd 0.3147 0.1573 0.7069  1 Si 2.34
Pd 0.6853 0.8427 0.2931  1 Si 2.34
Pd 0.1573 0.3147 0.2931  1 Si 2.34
Pd 0.1573 0.8427 0.2931  1 Si 2.34
Pd 0.5000 0.0000 0.0000  2 Si 2.41
Pd 0.0000 0.5000 0.0000  2 Si 2.41
Pd 0.5000 0.5000 0.0000  2 Si 2.41



Crystalline KBa2Tl9 at its relaxed geometry. Source: Alexandria via LeMat-Bulk, functional PBE.

Symmetry: R-3m (166)
Theoretical density: 8.565 Mg/m³
N(E_F): 0.359 states/eV/atom
Energy of formation from the pure elements: -2.3 eV/f.u.

a b c (Å): 6.6115 6.6115 11.6690
angles (deg): 73.54 73.54 60.00
Last column: nearest neighbours and their distance in Å.
Fractional positions:
K 0.0000 0.0000 0.0000  6 Tl 3.82
Ba 0.8615 0.8615 0.4154  12 Tl 3.76-4.12
Ba 0.1385 0.1385 0.5846  12 Tl 3.76-4.12
Tl 0.6645 0.6645 0.0065  6 Tl 3.33-3.42
Tl 0.3355 0.3355 0.9935  6 Tl 3.33-3.42
Tl 0.5000 0.5000 0.5000  6 Tl 3.35
Tl 0.4140 0.4140 0.2522  7 Tl 3.27-3.42
Tl 0.9198 0.4140 0.2522  7 Tl 3.27-3.42
Tl 0.4140 0.9198 0.2522  7 Tl 3.27-3.42
Tl 0.5860 0.5860 0.7478  7 Tl 3.27-3.42
Tl 0.5860 0.0802 0.7478  7 Tl 3.27-3.42
Tl 0.0802 0.5860 0.7478  7 Tl 3.27-3.42



Crystalline Zn5Co24 at its relaxed geometry. Source: Alexandria via LeMat-Bulk, functional PBE.

Symmetry: I-43m (217)
Theoretical density: 8.689 Mg/m³
N(E_F): 0.896 states/eV/atom
Energy of formation from the pure elements: 0.4 eV/f.u.

a b c (Å): 7.5615 7.5615 7.5615
angles (deg): 109.47 109.47 109.47
Last column: nearest neighbours and their distance in Å.
Fractional positions:
Co 0.1919 0.3764 0.0000  6 Co 2.28-2.46
Co 0.3764 0.1919 0.0000  6 Co 2.28-2.46
Co 0.8081 0.8081 0.1846  6 Co 2.28-2.46
Co 0.6236 0.6236 0.8154  6 Co 2.28-2.46
Co 0.8081 0.1846 0.8081  6 Co 2.28-2.46
Co 0.6236 0.8154 0.6236  6 Co 2.28-2.46
Co 0.3764 0.0000 0.1919  6 Co 2.28-2.46
Co 0.1919 0.0000 0.3764  6 Co 2.28-2.46
Co 0.0000 0.3764 0.1919  6 Co 2.28-2.46
Co 0.0000 0.1919 0.3764  6 Co 2.28-2.46
Co 0.8154 0.6236 0.6236  6 Co 2.28-2.46
Co 0.1846 0.8081 0.8081  6 Co 2.28-2.46
Co 0.6788 0.3948 0.0000  5 Co 2.29-2.56, 1 Zn 2.51
Co 0.3948 0.6788 0.0000  5 Co 2.29-2.56, 1 Zn 2.51
Co 0.3212 0.3212 0.7160  5 Co 2.29-2.56, 1 Zn 2.51
Co 0.6052 0.6052 0.2840  5 Co 2.29-2.56, 1 Zn 2.51
Co 0.3212 0.7160 0.3212  5 Co 2.29-2.56, 1 Zn 2.51
Co 0.6052 0.2840 0.6052  5 Co 2.29-2.56, 1 Zn 2.51
Co 0.3948 0.0000 0.6788  5 Co 2.29-2.56, 1 Zn 2.51
Co 0.6788 0.0000 0.3948  5 Co 2.29-2.56, 1 Zn 2.51
Co 0.0000 0.3948 0.6788  5 Co 2.29-2.56, 1 Zn 2.51
Co 0.0000 0.6788 0.3948  5 Co 2.29-2.56, 1 Zn 2.51
Co 0.2840 0.6052 0.6052  5 Co 2.29-2.56, 1 Zn 2.51
Co 0.7160 0.3212 0.3212  5 Co 2.29-2.56, 1 Zn 2.51
Zn 0.0000 0.6379 0.0000  9 Co 2.51-2.67, 1 Zn 2.74
Zn 0.6379 0.0000 0.0000  9 Co 2.51-2.67, 1 Zn 2.74
Zn 0.0000 0.0000 0.6379  9 Co 2.51-2.67, 1 Zn 2.74
Zn 0.3621 0.3621 0.3621  9 Co 2.51-2.67, 1 Zn 2.74
Zn 0.0000 0.0000 0.0000  12 Co 2.73, 4 Zn 2.74



Crystalline LiTbSe at its relaxed geometry. Source: Alexandria via LeMat-Bulk, functional PBE.

Symmetry: R-3m (166)
Theoretical density: 5.176 Mg/m³
N(E_F): 0.528 states/eV/atom
E above lowest polymorph: 0.143 eV per atom
E_form (uncorrected): -0.95 eV/atom

a b c (Å): 4.8249 4.8249 8.2741
angles (deg): 73.05 73.05 60.00
Last column: nearest neighbours and their distance in Å.
Fractional positions:
Tb 0.5897 0.5897 0.2308  4 Se 2.85-2.98
Tb 0.4103 0.4103 0.7692  4 Se 2.85-2.98
Se 0.2829 0.2829 0.1514  1 Li 2.53
Se 0.7171 0.7171 0.8486  1 Li 2.53
Li 0.8253 0.8253 0.5242  1 Se 2.53, 3 Li 2.81
Li 0.1747 0.1747 0.4758  1 Se 2.53, 3 Li 2.81



Crystalline RbLaSb3 at its relaxed geometry. Source: Alexandria via LeMat-Bulk, functional PBE.

Symmetry: Pm-3m (221)
Theoretical density: 4.241 Mg/m³
N(E_F): 1.046 states/eV/atom
E above lowest polymorph: 0.000 eV per atom
E_form (uncorrected): -0.05 eV/atom

a b c (Å): 6.1345 6.1345 6.1345
angles (deg): 90.00 90.00 90.00
Last column: nearest neighbours and their distance in Å.
Fractional positions:
Sb 0.0000 0.5000 0.0000  2 La 3.07
Sb 0.0000 0.0000 0.5000  2 La 3.07
Sb 0.5000 0.0000 0.0000  2 La 3.07
Rb 0.5000 0.5000 0.5000  12 Sb 4.34
La 0.0000 0.0000 0.0000  6 Sb 3.07



Crystalline SmY2Er7 at its relaxed geometry. Source: Alexandria via LeMat-Bulk, functional PBE.

Symmetry: Cmmm (65)
Theoretical density: 6.491 Mg/m³
N(E_F): 1.478 states/eV/atom
Energy of formation from the pure elements: 7.2 eV/f.u.
E above lowest polymorph: 0.693 eV per atom

a b c (Å): 5.1608 9.6653 9.6653
angles (deg): 127.30 90.00 90.00
Last column: nearest neighbours and their distance in Å.
Fractional positions:
Sm 0.0000 0.0000 0.0000  10 Er 3.37-3.53
Y 0.5000 0.7025 0.2975  5 Er 3.13-3.51
Y 0.5000 0.2975 0.7025  5 Er 3.13-3.51
Er 0.0000 0.8052 0.1948  2 Y 3.13, 4 Er 3.36, 1 Sm 3.37
Er 0.0000 0.1948 0.8052  2 Y 3.13, 4 Er 3.36, 1 Sm 3.37
Er 0.5000 0.0715 0.2867  4 Er 3.07-3.36, 1 Y 3.21
Er 0.5000 0.9285 0.7133  4 Er 3.07-3.36, 1 Y 3.21
Er 0.5000 0.2867 0.0715  4 Er 3.07-3.36, 1 Y 3.21
Er 0.5000 0.7133 0.9285  4 Er 3.07-3.36, 1 Y 3.21
Er 0.5000 0.5000 0.5000  4 Er 3.32, 2 Y 3.51



Crystalline Ba2OsSe at its relaxed geometry. Source: Alexandria via LeMat-Bulk, functional PBE.

Symmetry: R-3m (166)
Theoretical density: 6.316 Mg/m³
N(E_F): 1.250 states/eV/atom
E_form (uncorrected): -0.03 eV/atom

a b c (Å): 8.4727 8.4727 8.4727
angles (deg): 30.98 30.98 30.98
Last column: nearest neighbours and their distance in Å.
Fractional positions:
Ba 0.0012 0.0012 0.0012  3 Se 3.28, 3 Os 3.32
Ba 0.4988 0.4988 0.4988  3 Se 3.28, 3 Os 3.32
Os 0.2500 0.2500 0.2500  6 Ba 3.32
Se 0.7500 0.7500 0.7500  6 Ba 3.28